Entry 1:
{"formula": "Al2In5Pd12", "functional": "PBE", "state": "relaxed", "lattice_angstrom": [[6.391, -3.831, 0.000], [6.391, 3.831, 0.000], [-0.654, 0.000, 6.648]], "species": ["Al", "Al", "In", "In", "In", "In", "In", "Pd", "Pd", "Pd", "Pd", "Pd", "Pd", "Pd", "Pd", "Pd", "Pd", "Pd", "Pd"], "fractional_positions": [[0.238, 0.762, 0.000], [0.762, 0.238, 0.000], [0.000, 0.000, 0.500], [0.249, 0.249, 0.576], [0.316, 0.316, 0.054], [0.684, 0.684, 0.946], [0.751, 0.751, 0.424], [0.023, 0.641, 0.769], [0.109, 0.109, 0.873], [0.197, 0.593, 0.390], [0.359, 0.977, 0.231], [0.407, 0.803, 0.610], [0.457, 0.457, 0.775], [0.543, 0.543, 0.225], [0.593, 0.197, 0.390], [0.641, 0.023, 0.769], [0.803, 0.407, 0.610], [0.891, 0.891, 0.127], [0.977, 0.359, 0.231]], "formation_enthalpy_0k_ev_per_atom": -0.50, "energy_ev_per_cell": -93.0, "total_magnetization_mub_per_cell": 0.000}

Entry 2:
{"formula": "Dy3Ga9Cu2", "functional": "PBE", "state": "relaxed", "lattice_angstrom": [[-2.094, 5.011, 6.076], [2.094, -5.011, 6.076], [2.094, 5.011, -6.076]], "species": ["Dy", "Dy", "Dy", "Ga", "Ga", "Ga", "Ga", "Ga", "Ga", "Ga", "Ga", "Ga", "Cu", "Cu"], "fractional_positions": [[0.000, 0.000, 0.000], [0.319, 0.319, 0.000], [0.681, 0.681, 0.000], [0.035, 0.662, 0.373], [0.146, 0.869, 0.277], [0.289, 0.662, 0.627], [0.407, 0.131, 0.277], [0.500, 0.000, 0.500], [0.593, 0.869, 0.723], [0.711, 0.338, 0.373], [0.854, 0.131, 0.723], [0.965, 0.338, 0.627], [0.282, 0.500, 0.782], [0.718, 0.500, 0.218]], "formation_enthalpy_0k_ev_per_atom": -0.48, "energy_ev_per_cell": -56.0, "total_magnetization_mub_per_cell": 0.000}

Entry 3:
{"formula": "LiScP2", "functional": "PBE", "state": "relaxed", "lattice_angstrom": [[3.618, 0.000, 0.000], [0.000, 4.146, 0.000], [0.000, 0.000, 4.157]], "species": ["Li", "Sc", "P", "P"], "fractional_positions": [[0.000, 0.000, 0.000], [0.000, 0.500, 0.500], [0.500, 0.000, 0.500], [0.500, 0.500, 0.000]], "formation_enthalpy_0k_ev_per_atom": -0.68, "de_polymorph_ev_per_fu": 0.559, "energy_ev_per_cell": -21.8, "total_magnetization_mub_per_cell": 0.000}

Entry 4:
{"formula": "AgTe2Mo", "functional": "PBE", "state": "relaxed", "lattice_angstrom": [[3.501, -3.508, 0.000], [3.501, 3.508, 0.000], [0.000, 0.000, 3.532]], "species": ["Ag", "Te", "Te", "Mo"], "fractional_positions": [[0.000, 0.000, 0.000], [0.000, 0.500, 0.500], [0.500, 0.000, 0.500], [0.500, 0.500, 0.000]], "raw_formation_energy_kj_per_mol_fu": 195, "de_polymorph_ev_per_fu": 1.607, "energy_ev_per_cell": -17.9, "total_magnetization_mub_per_cell": 2.071}